12
Lattice="7.6962 0.1539 0.0000 -2.9670 7.1030 0.0000 -2.3646 -3.6284 6.3639" Properties=species:S:1:pos:R:3 comment="PBE Ho4ZnNi, optimized geometry" energy_ha_per_atom=-0.1549 spacegroup=I4_1md dos_at_fermi_per_ev_atom=1.709 polymorph_energy_mev_per_atom=298 e_form_ev_per_atom=0.01 pbc="T T T"
Ho -0.9436 0.7989 5.1371
Ho -0.3716 3.0109 1.9552
Ho 3.4765 3.0878 1.2267
Ni 2.6694 -1.7317 3.1819
Ho -2.4271 4.3504 4.4087
Ni 3.5505 5.4482 0.0000
Zn 1.1763 1.8051 0.0000
Zn 5.0245 1.8820 3.1819
Ho -1.9687 6.2707 1.2908
Ho 1.2001 4.2057 5.0731
Ho 2.6836 0.6542 4.4728
Ho 4.8465 -0.7553 1.8911

4
Lattice="-0.4237 -2.6941 1.0799 2.1590 0.4362 1.9354 -1.7013 2.5765 5.7606" Properties=species:S:1:pos:R:3 comment="PBE CrMoP2, optimized geometry" energy_ha_per_atom=-0.2969 spacegroup=P4/mmm dos_at_fermi_per_ev_atom=0.868 polymorph_energy_mev_per_atom=267 e_form_ev_per_atom=-0.26 pbc="T T T"
P 2.1061 0.4664 1.9898
Cr -0.0974 -0.5939 2.4639
Mo 0.1314 0.9125 6.3119
P 0.2817 1.4762 3.7935

3
Lattice="4.2419 0.0000 0.0000 2.1210 3.6736 0.0000 2.1210 1.2245 3.4635" Properties=species:S:1:pos:R:3 comment="PBE LiZnW, optimized geometry" energy_ha_per_atom=-0.1433 spacegroup=F-43m dos_at_fermi_per_ev_atom=1.116 polymorph_energy_mev_per_atom=1232 e_form_ev_per_atom=1.48 pbc="T T T"
Zn 0.0000 0.0000 0.0000
W 6.3629 3.6736 2.5976
Li 4.2419 2.4491 1.7318

4
Lattice="-0.9813 2.7545 1.0968 0.5065 -1.8984 5.2208 5.2518 1.3016 -3.0164" Properties=species:S:1:pos:R:3 comment="PBE Pa3Al, optimized geometry" energy_ha_per_atom=-0.2994 spacegroup=Imm2 dos_at_fermi_per_ev_atom=1.986 polymorph_energy_mev_per_atom=26 e_form_ev_per_atom=-0.09 pbc="T T T"
Pa -0.2322 0.4085 3.2124
Pa 2.8170 0.3160 1.7267
Pa 1.7740 2.5392 -0.3438
Al 0.0121 -0.0452 0.1244